This record from Alexandria via LeMat-Bulk describes a geometry-optimized CaTe2Au structure. The functional is GGA-PBE.

```
CaTe2Au
1.0
-2.836 -2.018 3.596
-2.533 -2.587 -3.449
2.665 -3.095 0.365
Ca Te Au
1 2 1
Direct
0.000 0.500 0.500 Ca
0.000 0.000 0.000 Te
0.500 0.500 0.000 Te
0.500 0.000 0.500 Au
```

Summary:
- Final energy: -3.4508 eV per atom
- Energy relative to the elements, uncorrected: -0.5602 eV/atom
- Calculated volume: 25.66 A^3/atom
- Spin magnetization: 0.00 μB/f.u.